{
  "formula": "Y3Pd7",
  "functional": "PBE",
  "state": "relaxed",
  "lattice": [[7.6977, -2.1205, 0.0000], [7.6977, 2.1205, 0.0000], [-1.4778, 0.0000, 5.6615]],
  "species": ["Y", "Y", "Y", "Pd", "Pd", "Pd", "Pd", "Pd", "Pd", "Pd"],
  "fractional_positions": [[0.0000, 0.0000, 0.0000], [0.1885, 0.1885, 0.6340], [0.8115, 0.8115, 0.3660], [0.0000, 0.0000, 0.5000], [0.1986, 0.1986, 0.1260], [0.3998, 0.3998, 0.6821], [0.4015, 0.4015, 0.1842], [0.5985, 0.5985, 0.8158], [0.6002, 0.6002, 0.3179], [0.8014, 0.8014, 0.8740]],
  "crystal_system": "monoclinic",
  "final_energy_ev_per_atom": -6.430,
  "ef_ev_per_atom": -0.86
}